ScTl2PbO6 | GGA-PBE | optimized geometry

extended XYZ file:
```
10
Lattice="2.886 1.666 5.058 -2.886 1.666 5.058 0.000 -3.333 5.058" Properties=species:S:1:pos:R:3 pbc="T T T"
Sc 0.000 0.000 0.000
Tl 0.000 0.000 3.331
Tl 0.000 0.000 10.876
Pb 0.000 0.000 7.528
O -2.058 0.271 6.570
O -1.008 -1.470 9.171
O 0.794 -1.918 6.570
O -0.769 1.609 9.171
O 1.264 1.647 6.570
O 1.778 -0.138 9.171
```

- magnetization (Bohr magnetons per cell) = 0.00
- VASP energy (eV/atom) = -5.83
- space-group type = R3 (146)